A plane-wave DFT calculation with PBE was carried out for a relaxed CdS2Cl crystal.

The structure in POSCAR format:
```
CdS2Cl
1.0
-1.9020 -3.6702 2.3852
1.0718 -0.6673 4.6026
-3.2993 0.7885 3.3571
Cd S Cl
1 2 1
Direct
0.5000 0.5000 0.5000
0.2500 0.2500 0.2500
0.7500 0.7500 0.7500
0.0000 0.0000 0.0000
```

Properties
Calculated total energy   -2.194 eV/atom
E_form (uncorrected)   0.560 eV/atom
Space-group type   No. 225
Energy above the lowest structure with this stoichiometry   925.2 meV per atom

A plane-wave DFT calculation with PBE was carried out for a relaxed Sm2DyCd2Ag2 crystal.

The structure in POSCAR format:
```
Sm2DyCd2Ag2
1.0
-2.1927 -4.3355 0.5665
2.6832 -4.0139 0.7839
-0.3102 -1.4193 9.0552
Cd Sm Ag Dy
2 2 2 1
Direct
0.7337 0.7337 0.7990
0.2663 0.2663 0.2010
0.1240 0.1240 0.6281
0.8760 0.8760 0.3719
0.6052 0.6052 0.1843
0.3948 0.3948 0.8157
0.0000 0.0000 0.0000
```

Properties
DFT formation energy   -178 meV per atom
Calculated total energy   -3.260 eV/atom
Space-group type   No. 166

A plane-wave DFT calculation with PBE was carried out for a relaxed Li2AcVN4 crystal.

The structure in POSCAR format:
```
Li2AcVN4
1.0
5.4513 0.0000 0.0000
2.7257 4.4038 -0.8340
2.7257 -0.3412 4.4690
Ac Li N V
1 2 4 1
Direct
0.0000 0.0000 0.0000
0.5000 0.2500 0.7500
0.5000 0.7500 0.2500
0.0000 0.8395 0.5428
0.3823 0.1605 0.4572
0.0000 0.4572 0.1605
0.6177 0.5428 0.8395
0.0000 0.5000 0.5000
```

Properties
Calculated total energy   -6.888 eV/atom
E_form (uncorrected)   -0.593 eV/atom
Space-group type   No. 121

Number 1: magnetization 0.0000 μB/atom. Number 2: magnetization 0.0000 μB/atom. Number 3: magnetization 0.2351 μB/atom.